# 1
Compound: LaHfSCl2
Source: Alexandria
Functional: PBE
Structure: optimized geometry

Unit cell a=4.8881 b=4.8881 c=4.9532 alpha=90.00 beta=90.00 gamma=90.00
Positions (direct):
1 S 0.0000 0.0000 0.5000
2 Cl 0.0000 0.5000 0.0000
3 Cl 0.5000 0.0000 0.0000
4 Hf 0.0000 0.0000 0.0000
5 La 0.5000 0.5000 0.5000

Values from the calculation:
E above lowest polymorph = 0.0000 eV/atom
Raw formation energy = -5.72 eV per formula unit
D(E_F) = 5.463 states/eV/cell

***

# 2
Compound: NaLiMg2Cr
Source: Alexandria
Functional: PBE
Structure: optimized geometry

Unit cell a=5.3736 b=5.3736 c=5.2325 alpha=90.00 beta=90.00 gamma=90.00
Last column: magnetic moment on the atom in μB.
Positions (direct):
1 Cr 0.0000 0.0000 0.5000  4.16
2 Mg 0.0000 0.5000 0.0000  -0.02
3 Mg 0.5000 0.0000 0.0000  -0.02
4 Li 0.5000 0.5000 0.5000  -0.01
5 Na 0.0000 0.0000 0.0000  0.01

Values from the calculation:
E_form = 970 meV/atom
D(E_F) = 2.956 states/eV/cell

***

# 3
Compound: GaSbPd4
Source: Alexandria
Functional: PBE
Structure: optimized geometry

Unit cell a=5.2698 b=7.5521 c=5.3029 alpha=90.00 beta=71.09 gamma=90.00
Positions (direct):
1 Ga 0.5000 0.0000 0.5000
2 Ga 0.0000 0.5000 0.5000
3 Sb 0.0000 0.0000 0.0000
4 Sb 0.5000 0.5000 0.0000
5 Pd 0.8901 0.6623 0.1273
6 Pd 0.6099 0.1623 0.8727
7 Pd 0.6269 0.3315 0.3837
8 Pd 0.8731 0.8315 0.6163
9 Pd 0.1099 0.3377 0.8727
10 Pd 0.3901 0.8377 0.1273
11 Pd 0.3731 0.6685 0.6163
12 Pd 0.1269 0.1685 0.3837

Values from the calculation:
E above lowest polymorph = 0.0635 eV/atom
Raw formation energy = -2.73 eV per formula unit
D(E_F) = 5.760 states/eV/cell

***

# 4
Compound: Ac6CdOs2
Source: Alexandria
Functional: PBE
Structure: optimized geometry

Unit cell a=9.2779 b=9.2779 c=9.2779 alpha=106.21 beta=109.56 gamma=112.71
Positions (direct):
1 Ac 0.5373 0.7188 0.8185
2 Ac 0.4627 0.2812 0.1815
3 Ac 0.0997 0.2812 0.8185
4 Ac 0.9003 0.7188 0.1815
5 Ac 0.7970 0.7652 0.5623
6 Ac 0.2030 0.2348 0.4377
7 Ac 0.2030 0.7652 0.9682
8 Ac 0.7970 0.2348 0.0318
9 Ac 0.6824 0.3535 0.6711
10 Ac 0.3176 0.6465 0.3289
11 Ac 0.3176 0.9887 0.6711
12 Ac 0.6824 0.0113 0.3289
13 Cd 0.0000 0.5000 0.5000
14 Cd 0.0000 0.0000 0.0000
15 Os 0.5000 0.3875 0.8875
16 Os 0.5000 0.6125 0.1125
17 Os 0.6702 0.0000 0.6702
18 Os 0.3298 0.0000 0.3298

Values from the calculation:
E_form = -92 meV/atom
D(E_F) = 16.452 states/eV/cell

***

# 5
Compound: Tl2ZnCl5
Source: Alexandria
Functional: PBE
Structure: optimized geometry

Unit cell a=7.4810 b=7.4809 c=6.7723 alpha=123.53 beta=123.53 gamma=90.00
Last column: magnetic moment on the atom in μB.
Positions (direct):
1 Tl 0.2581 0.7583 0.5161  0.01
2 Tl 0.7581 0.2580 0.5161  0.01
3 Zn 0.9675 0.9675 0.9350  0.03
4 Cl 0.8049 0.2459 0.0508  0.09
5 Cl 0.2459 0.2459 0.0508  0.09
6 Cl 0.8048 0.8048 0.0507  0.09
7 Cl 0.2459 0.8047 0.0506  0.09
8 Cl 0.6919 0.6919 0.3839  0.16

Values from the calculation:
Raw formation energy = -6.58 eV per formula unit
D(E_F) = 8.408 states/eV/cell

***

# 6
Compound: KSrTl2
Source: Alexandria
Functional: PBE
Structure: optimized geometry

Unit cell a=9.3539 b=9.3539 c=7.5776 alpha=51.89 beta=51.89 gamma=90.00
Positions (direct):
1 Sr 0.0000 0.0000 0.0000
2 Sr 0.7500 0.2500 0.5000
3 Tl 0.6321 0.1250 0.2500
4 Tl 0.1179 0.6250 0.2500
5 Tl 0.3750 0.3679 0.7500
6 Tl 0.8750 0.8821 0.7500
7 K 0.5000 0.5000 0.0000
8 K 0.2500 0.7500 0.5000

Values from the calculation:
E above lowest polymorph = 0.2312 eV/atom
E_form = 13 meV/atom
D(E_F) = 7.671 states/eV/cell

***

# 7
Compound: MgPd4Au
Source: Alexandria
Functional: PBE
Structure: optimized geometry

Unit cell a=4.5185 b=7.5718 c=6.7647 alpha=90.00 beta=109.51 gamma=90.00
Positions (direct):
1 Mg 0.3688 0.7500 0.7376
2 Mg 0.6312 0.2500 0.2624
3 Pd 0.2308 0.4172 0.4616
4 Pd 0.7692 0.5828 0.5384
5 Pd 0.2308 0.0828 0.4616
6 Pd 0.7692 0.9172 0.5384
7 Pd 0.5603 0.7500 0.1206
8 Pd 0.4397 0.2500 0.8794
9 Pd 0.0000 0.5000 0.0000
10 Pd 0.0000 0.0000 0.0000
11 Au 0.1615 0.7500 0.3229
12 Au 0.8385 0.2500 0.6771

Values from the calculation:
E above lowest polymorph = 0.3571 eV/atom
E_form = -11 meV/atom
D(E_F) = 12.460 states/eV/cell

***

# 8
Compound: KTiF2
Source: Alexandria
Functional: PBE
Structure: optimized geometry

Unit cell a=5.1623 b=5.1623 c=7.2362 alpha=69.10 beta=69.10 gamma=90.00
Last column: magnetic moment on the atom in μB.
Positions (direct):
1 K 0.5000 0.5000 0.0000  0.04
2 K 0.2500 0.7500 0.5000  0.04
3 F 0.7705 0.1250 0.2500  0.03
4 F 0.9795 0.6250 0.2500  0.03
5 F 0.3750 0.2295 0.7500  0.02
6 F 0.8750 0.0205 0.7500  0.02
7 Ti 0.0000 0.0000 0.0000  1.77
8 Ti 0.7500 0.2500 0.5000  1.78

Values from the calculation:
E above lowest polymorph = 0.2962 eV/atom
Raw formation energy = -7.53 eV per formula unit
D(E_F) = 7.725 states/eV/cell